Density functional theory data (PBE+U) for crystalline MnF at its relaxed geometry.

```
8
Lattice="-1.853 -4.571 -0.597 1.815 -1.315 4.434 -4.237 1.436 2.160" Properties=species:S:1:pos:R:3 pbc="T T T"
Mn -2.138 -2.225 2.999
Mn -0.927 -2.285 -0.298
Mn 0.907 -0.657 2.217
Mn -2.119 0.718 1.080
F 0.000 0.000 0.000
F -1.211 0.061 3.297
F -3.045 -1.567 0.782
F -0.019 -2.943 1.919
```

Distance to the lowest polymorph of the same formula = 408 meV per atom
Volume = 122.6 Å³ per cell